## La2SmY4 (PBE)

Data for a relaxed La2SmY4 crystal.

The structure in CIF format:
```
data_La2SmY4
_cell_length_a 16.7697
_cell_length_b 6.8183
_cell_length_c 11.7732
_cell_angle_alpha 90.00
_cell_angle_beta 134.52
_cell_angle_gamma 90.00
_symmetry_space_group_name_H-M 'C 1 2 1'
_symmetry_Int_Tables_number 5
_symmetry_space_group_name_Hall 'C 2y'
loop_
_atom_site_label
_atom_site_fract_x
_atom_site_fract_y
_atom_site_fract_z
La1 0.0000 0.0000 0.0000
La2 0.0000 0.0005 0.5000
La3 0.2228 0.8817 0.4743
Sm1 0.2249 0.8826 0.9742
Y1 0.0013 0.6699 0.7509
Y2 0.0028 0.2226 0.7528
Y3 0.1523 0.5163 0.1504
Y4 0.1535 0.5140 0.6551
```

Properties
- offset from the most stable computed form (meV/atom) = 0
- ΔH_f (0 K) (eV per atom) = 0.17

## LaSm7Y4 (PBE)

Data for a relaxed LaSm7Y4 crystal.

The structure in CIF format:
```
data_LaSm7Y4
_cell_length_a 6.3240
_cell_length_b 7.3042
_cell_length_c 9.0026
_cell_angle_alpha 90.00
_cell_angle_beta 103.65
_cell_angle_gamma 90.06
_symmetry_space_group_name_H-M 'P -1'
_symmetry_Int_Tables_number 2
_symmetry_space_group_name_Hall '-P 1'
loop_
_atom_site_label
_atom_site_fract_x
_atom_site_fract_y
_atom_site_fract_z
La1 0.0000 0.0000 0.0000
Sm1 0.0000 0.5000 0.0000
Sm2 0.2224 0.9996 0.6650
Sm3 0.2784 0.7494 0.3353
Sm4 0.4990 0.7475 0.0002
Y1 0.2199 0.4997 0.6656
Y2 0.2794 0.2531 0.3347
```

Properties
- offset from the most stable computed form (meV/atom) = 0
- ΔH_f (0 K) (eV per atom) = 0.00

## La4Sm11Y9 (PBE)

Data for a relaxed La4Sm11Y9 crystal.

The structure in CIF format:
```
data_La4Sm11Y9
_cell_length_a 17.0591
_cell_length_b 25.5325
_cell_length_c 3.7446
_cell_angle_alpha 90.00
_cell_angle_beta 90.00
_cell_angle_gamma 90.00
_symmetry_space_group_name_H-M 'C m m m'
_symmetry_Int_Tables_number 65
_symmetry_space_group_name_Hall '-C 2 2'
loop_
_atom_site_label
_atom_site_fract_x
_atom_site_fract_y
_atom_site_fract_z
La1 0.1541 0.1005 0.0000
Sm1 0.0000 0.1355 0.5000
Sm2 0.0000 0.3420 0.5000
Sm3 0.0000 0.5000 0.5000
Sm4 0.2109 0.0000 0.5000
Sm5 0.2273 0.3188 0.5000
Y1 0.0000 0.0000 0.0000
Y2 0.1010 0.2375 0.0000
Y3 0.1382 0.4272 0.0000
```

Properties
- ΔH_f (0 K) (eV per atom) = 0.06

## LaSmY (PBE)

Data for a relaxed LaSmY crystal.

The structure in CIF format:
```
data_LaSmY
_cell_length_a 4.2558
_cell_length_b 4.2558
_cell_length_c 11.4752
_cell_angle_alpha 90.00
_cell_angle_beta 90.00
_cell_angle_gamma 90.00
_symmetry_space_group_name_H-M 'I 4 m m'
_symmetry_Int_Tables_number 107
_symmetry_space_group_name_Hall 'I 4 -2'
loop_
_atom_site_label
_atom_site_fract_x
_atom_site_fract_y
_atom_site_fract_z
La1 0.0000 0.0000 0.0000
Sm1 0.0000 0.0000 0.3214
Y1 0.0000 0.0000 0.6685
```

Properties
- offset from the most stable computed form (meV/atom) = 86
- ΔH_f (0 K) (eV per atom) = 0.10

## La4Sm3Y4 (PBE)

Data for a relaxed La4Sm3Y4 crystal.

The structure in CIF format:
```
data_La4Sm3Y4
_cell_length_a 10.8232
_cell_length_b 5.8199
_cell_length_c 12.1392
_cell_angle_alpha 90.00
_cell_angle_beta 90.00
_cell_angle_gamma 90.00
_symmetry_space_group_name_H-M 'A m m 2'
_symmetry_Int_Tables_number 38
_symmetry_space_group_name_Hall 'A 2 -2'
loop_
_atom_site_label
_atom_site_fract_x
_atom_site_fract_y
_atom_site_fract_z
La1 0.0000 0.0000 0.0000
La2 0.2060 0.0000 0.8082
La3 0.5000 0.0000 0.9190
Sm1 0.0000 0.0000 0.2945
Sm2 0.2920 0.0000 0.4504
Y1 0.0000 0.0000 0.5955
Y2 0.3029 0.0000 0.1463
Y3 0.5000 0.0000 0.6472
```

Properties
- offset from the most stable computed form (meV/atom) = 21
- ΔH_f (0 K) (eV per atom) = 0.14

## LaSm5Y8 (PBE)

Data for a relaxed LaSm5Y8 crystal.

The structure in CIF format:
```
data_LaSm5Y8
_cell_length_a 9.5914
_cell_length_b 9.5914
_cell_length_c 10.3424
_cell_angle_alpha 90.00
_cell_angle_beta 90.00
_cell_angle_gamma 90.00
_symmetry_space_group_name_H-M 'I -4'
_symmetry_Int_Tables_number 82
_symmetry_space_group_name_Hall 'I -4'
loop_
_atom_site_label
_atom_site_fract_x
_atom_site_fract_y
_atom_site_fract_z
La1 0.0000 0.0000 0.0000
Sm1 0.0000 0.5000 0.2500
Sm2 0.1109 0.7129 0.6760
Y1 0.0733 0.8209 0.3533
Y2 0.0823 0.6749 0.0034
```

Properties
- ΔH_f (0 K) (eV per atom) = 0.23

## La3Sm5Y (PBE)

Data for a relaxed La3Sm5Y crystal.

The structure in CIF format:
```
data_La3Sm5Y
_cell_length_a 12.4503
_cell_length_b 8.4000
_cell_length_c 12.9090
_cell_angle_alpha 90.00
_cell_angle_beta 100.44
_cell_angle_gamma 90.00
_symmetry_space_group_name_H-M 'C 1 2/m 1'
_symmetry_Int_Tables_number 12
_symmetry_space_group_name_Hall '-C 2y'
loop_
_atom_site_label
_atom_site_fract_x
_atom_site_fract_y
_atom_site_fract_z
La1 0.0000 0.0000 0.0000
La2 0.0000 0.0000 0.5000
La3 0.1093 0.5000 0.2132
La4 0.2300 0.5000 0.4655
Sm1 0.0000 0.3184 0.0000
Sm2 0.0578 0.5000 0.6235
Sm3 0.1372 0.1951 0.7763
Sm4 0.2405 0.5000 0.9720
Y1 0.1376 0.0000 0.2644
```

Properties
- ΔH_f (0 K) (eV per atom) = 0.40

## La2Sm12Y (PBE)

Data for a relaxed La2Sm12Y crystal.

The structure in CIF format:
```
data_La2Sm12Y
_cell_length_a 7.2175
_cell_length_b 11.5682
_cell_length_c 25.1059
_cell_angle_alpha 90.00
_cell_angle_beta 90.00
_cell_angle_gamma 90.00
_symmetry_space_group_name_H-M 'C m m e'
_symmetry_Int_Tables_number 67
_symmetry_space_group_name_Hall '-C 2a 2'
loop_
_atom_site_label
_atom_site_fract_x
_atom_site_fract_y
_atom_site_fract_z
La1 0.0000 0.2500 0.2260
La2 0.0000 0.2500 0.7666
Sm1 0.0000 0.0007 0.5762
Sm2 0.0000 0.0240 0.0595
Sm3 0.2298 0.2500 0.9186
Sm4 0.2486 0.2500 0.3736
Sm5 0.2500 0.0000 0.1724
Sm6 0.2500 0.0000 0.3011
Y1 0.0000 0.2500 0.4999
```

Properties
- ΔH_f (0 K) (eV per atom) = 0.15

## LaSm7Y3 (PBE)

Data for a relaxed LaSm7Y3 crystal.

The structure in CIF format:
```
data_LaSm7Y3
_cell_length_a 7.1912
_cell_length_b 7.1912
_cell_length_c 8.7372
_cell_angle_alpha 90.00
_cell_angle_beta 90.00
_cell_angle_gamma 120.00
_symmetry_space_group_name_H-M 'P 3 m 1'
_symmetry_Int_Tables_number 156
_symmetry_space_group_name_Hall 'P 3 -2"'
loop_
_atom_site_label
_atom_site_fract_x
_atom_site_fract_y
_atom_site_fract_z
La1 0.0000 0.0000 0.0000
Sm1 0.0018 0.5009 0.9873
Sm2 0.3319 0.1660 0.3281
Sm3 0.3333 0.6667 0.3173
Y1 0.1673 0.3346 0.6558
```

Properties
- offset from the most stable computed form (meV/atom) = 0
- ΔH_f (0 K) (eV per atom) = 0.19

## La3Sm2Y (PBE)

Data for a relaxed La3Sm2Y crystal.

The structure in CIF format:
```
data_La3Sm2Y
_cell_length_a 6.8165
_cell_length_b 18.2182
_cell_length_c 3.4760
_cell_angle_alpha 90.00
_cell_angle_beta 90.00
_cell_angle_gamma 90.00
_symmetry_space_group_name_H-M 'P n n m'
_symmetry_Int_Tables_number 58
_symmetry_space_group_name_Hall '-P 2 2n'
loop_
_atom_site_label
_atom_site_fract_x
_atom_site_fract_y
_atom_site_fract_z
La1 0.0000 0.0000 0.0000
La2 0.2320 0.3157 0.0000
Sm1 0.2286 0.1482 0.5000
Y1 0.0000 0.5000 0.0000
```

Properties
- offset from the most stable computed form (meV/atom) = 0
- ΔH_f (0 K) (eV per atom) = 0.23

## La5Sm3Y (PBE)

Data for a relaxed La5Sm3Y crystal.

The structure in CIF format:
```
data_La5Sm3Y
_cell_length_a 15.3838
_cell_length_b 10.0405
_cell_length_c 9.2688
_cell_angle_alpha 90.00
_cell_angle_beta 118.02
_cell_angle_gamma 90.00
_symmetry_space_group_name_H-M 'C 1 2/c 1'
_symmetry_Int_Tables_number 15
_symmetry_space_group_name_Hall '-C 2yc'
loop_
_atom_site_label
_atom_site_fract_x
_atom_site_fract_y
_atom_site_fract_z
La1 0.0000 0.0618 0.2500
La2 0.1669 0.0731 0.0937
La3 0.1679 0.4061 0.0751
Sm1 0.0815 0.2651 0.6591
Sm2 0.2500 0.2500 0.5000
Y1 0.0000 0.4086 0.2500
```

Properties
- offset from the most stable computed form (meV/atom) = 0
- ΔH_f (0 K) (eV per atom) = 0.06

## LaSm2Y6 (PBE)

Data for a relaxed LaSm2Y6 crystal.

The structure in CIF format:
```
data_LaSm2Y6
_cell_length_a 6.2720
_cell_length_b 6.2742
_cell_length_c 16.1022
_cell_angle_alpha 98.28
_cell_angle_beta 100.07
_cell_angle_gamma 100.30
_symmetry_space_group_name_H-M 'P -1'
_symmetry_Int_Tables_number 2
_symmetry_space_group_name_Hall '-P 1'
loop_
_atom_site_label
_atom_site_fract_x
_atom_site_fract_y
_atom_site_fract_z
La1 0.0341 0.2850 0.2500
Sm1 0.2143 0.2379 0.6893
Sm2 0.4488 0.9743 0.1895
Y1 0.0888 0.3041 0.8843
Y2 0.1096 0.2535 0.4741
Y3 0.2209 0.8645 0.9741
Y4 0.3328 0.7739 0.4012
Y5 0.3723 0.4316 0.0992
Y6 0.4197 0.7034 0.6161
```

Properties
- offset from the most stable computed form (meV/atom) = 22
- ΔH_f (0 K) (eV per atom) = 0.12

## La4SmY2 (PBE)

Data for a relaxed La4SmY2 crystal.

The structure in CIF format:
```
data_La4SmY2
_cell_length_a 7.0164
_cell_length_b 11.6332
_cell_length_c 12.2308
_cell_angle_alpha 90.00
_cell_angle_beta 90.00
_cell_angle_gamma 90.00
_symmetry_space_group_name_H-M 'I m m a'
_symmetry_Int_Tables_number 74
_symmetry_space_group_name_Hall '-I 2b 2'
loop_
_atom_site_label
_atom_site_fract_x
_atom_site_fract_y
_atom_site_fract_z
La1 0.0000 0.0005 0.1507
La2 0.2163 0.2500 0.0058
Sm1 0.2500 0.2500 0.7500
Y1 0.0000 0.0000 0.5000
Y2 0.0000 0.2500 0.2846
```

Properties
- offset from the most stable computed form (meV/atom) = 149
- ΔH_f (0 K) (eV per atom) = 0.22

## LaSm6Y3 (PBE)

Data for a relaxed LaSm6Y3 crystal.

The structure in CIF format:
```
data_LaSm6Y3
_cell_length_a 11.2060
_cell_length_b 19.3827
_cell_length_c 6.2185
_cell_angle_alpha 90.00
_cell_angle_beta 90.00
_cell_angle_gamma 90.00
_symmetry_space_group_name_H-M 'C m c 21'
_symmetry_Int_Tables_number 36
_symmetry_space_group_name_Hall 'C 2c -2'
loop_
_atom_site_label
_atom_site_fract_x
_atom_site_fract_y
_atom_site_fract_z
La1 0.0000 0.1979 0.0000
Sm1 0.0000 0.0416 0.8070
Sm2 0.0000 0.2817 0.5270
Sm3 0.1662 0.4563 0.4292
Sm4 0.2421 0.2892 0.2704
Y1 0.0000 0.3862 0.9711
Y2 0.1718 0.1120 0.3611
```

Properties
- offset from the most stable computed form (meV/atom) = 0
- ΔH_f (0 K) (eV per atom) = 0.14

## La4Sm7Y (PBE)

Data for a relaxed La4Sm7Y crystal.

The structure in CIF format:
```
data_La4Sm7Y
_cell_length_a 3.6617
_cell_length_b 3.6617
_cell_length_c 35.9356
_cell_angle_alpha 90.00
_cell_angle_beta 90.00
_cell_angle_gamma 120.00
_symmetry_space_group_name_H-M 'P -3 m 1'
_symmetry_Int_Tables_number 164
_symmetry_space_group_name_Hall '-P 3 2"'
loop_
_atom_site_label
_atom_site_fract_x
_atom_site_fract_y
_atom_site_fract_z
La1 0.3333 0.6667 0.1657
La2 0.3333 0.6667 0.4161
Sm1 0.0000 0.0000 0.2502
Sm2 0.0000 0.0000 0.5000
Sm3 0.3333 0.6667 0.6682
Sm4 0.3333 0.6667 0.9190
Y1 0.0000 0.0000 0.0000
```

Properties
- ΔH_f (0 K) (eV per atom) = 0.02

## LaSm4Y3 (PBE)

Data for a relaxed LaSm4Y3 crystal.

The structure in CIF format:
```
data_LaSm4Y3
_cell_length_a 3.4925
_cell_length_b 11.8195
_cell_length_c 13.0903
_cell_angle_alpha 90.00
_cell_angle_beta 90.00
_cell_angle_gamma 90.00
_symmetry_space_group_name_H-M 'I m m m'
_symmetry_Int_Tables_number 71
_symmetry_space_group_name_Hall '-I 2 2'
loop_
_atom_site_label
_atom_site_fract_x
_atom_site_fract_y
_atom_site_fract_z
La1 0.0000 0.0000 0.0000
Sm1 0.0000 0.2501 0.1338
Y1 0.0000 0.0000 0.5000
Y2 0.0000 0.5000 0.2578
```

Properties
- offset from the most stable computed form (meV/atom) = 101
- ΔH_f (0 K) (eV per atom) = 0.12

## La5Sm5Y (PBE)

Data for a relaxed La5Sm5Y crystal.

The structure in CIF format:
```
data_La5Sm5Y
_cell_length_a 7.0621
_cell_length_b 7.1215
_cell_length_c 8.6327
_cell_angle_alpha 75.42
_cell_angle_beta 77.89
_cell_angle_gamma 72.41
_symmetry_space_group_name_H-M 'P -1'
_symmetry_Int_Tables_number 2
_symmetry_space_group_name_Hall '-P 1'
loop_
_atom_site_label
_atom_site_fract_x
_atom_site_fract_y
_atom_site_fract_z
La1 0.0000 0.0000 0.0000
La2 0.3354 0.7667 0.6464
La3 0.3698 0.2316 0.7448
Sm1 0.1490 0.6342 0.3551
Sm2 0.1947 0.1436 0.3094
Sm3 0.5000 0.5000 0.0000
Y1 0.0000 0.5000 0.0000
```

Properties
- offset from the most stable computed form (meV/atom) = 0
- ΔH_f (0 K) (eV per atom) = 0.13

## LaSm3Y6 (PBE)

Data for a relaxed LaSm3Y6 crystal.

The structure in CIF format:
```
data_LaSm3Y6
_cell_length_a 9.9915
_cell_length_b 9.9915
_cell_length_c 11.6760
_cell_angle_alpha 90.00
_cell_angle_beta 90.00
_cell_angle_gamma 120.00
_symmetry_space_group_name_H-M 'R 3'
_symmetry_Int_Tables_number 146
_symmetry_space_group_name_Hall 'R 3'
loop_
_atom_site_label
_atom_site_fract_x
_atom_site_fract_y
_atom_site_fract_z
La1 0.0000 0.0000 0.0000
Sm1 0.0000 0.0000 0.2519
Sm2 0.0000 0.0000 0.5001
Sm3 0.0000 0.0000 0.7485
Y1 0.0000 0.3294 0.9992
Y2 0.0000 0.6745 0.4992
```

Properties
- offset from the most stable computed form (meV/atom) = 114
- ΔH_f (0 K) (eV per atom) = 0.26

## La2Sm2Y7 (PBE)

Data for a relaxed La2Sm2Y7 crystal.

The structure in CIF format:
```
data_La2Sm2Y7
_cell_length_a 17.8771
_cell_length_b 11.7193
_cell_length_c 3.6457
_cell_angle_alpha 90.00
_cell_angle_beta 101.59
_cell_angle_gamma 90.00
_symmetry_space_group_name_H-M 'C 1 2/m 1'
_symmetry_Int_Tables_number 12
_symmetry_space_group_name_Hall '-C 2y'
loop_
_atom_site_label
_atom_site_fract_x
_atom_site_fract_y
_atom_site_fract_z
La1 0.0000 0.2234 0.0000
Sm1 0.1982 0.5000 0.1985
Y1 0.0000 0.5000 0.5000
Y2 0.1235 0.0000 0.1275
Y3 0.1681 0.2503 0.6689
```

Properties
- offset from the most stable computed form (meV/atom) = 0
- ΔH_f (0 K) (eV per atom) = 0.13